# TcAsPtSe2

A relaxed TcAsPtSe2 crystal (PBE, the Alexandria database).

CIF file:
```
data_TcAsPtSe2
_space_group_name_H-M_alt 'P 4/m m m'
_space_group_IT_number 123
_space_group_name_Hall '-P 4 2'
_cell_length_a 4.7798
_cell_length_b 4.7798
_cell_length_c 4.8076
_cell_angle_alpha 90.00
_cell_angle_beta 90.00
_cell_angle_gamma 90.00
loop_
_atom_site_label
_atom_site_fract_x
_atom_site_fract_y
_atom_site_fract_z
_atom_site_occupancy
Tc1 0.0000 0.0000 0.0000 1
As1 0.0000 0.0000 0.5000 1
Pt1 0.5000 0.5000 0.5000 1
Se1 0.0000 0.5000 0.0000 1
```

Computed properties:
Spin magnetization in μB/f.u.: 0.0
ΔE_f (raw) in eV/atom: 0.782
E above lowest polymorph in eV per atom: 0.000